The following is a PBE calculation of SrTeMo2 after structural relaxation, from the Alexandria database.

a = 3.366 Å, b = 5.546 Å, c = 10.244 Å
α = 90.00°, β = 90.00°, γ = 90.00°
Space group Imm2 (No. 44)
One atom of each set of equivalent atoms:
Sr: 0.000 0.000 0.000 [2 per cell]
Te: 0.000 0.500 0.788 [2 per cell]
Mo: 0.000 0.000 0.532 [2 per cell]
Mo: 0.000 0.500 0.203 [2 per cell]

Summary:
ΔE_f (raw) in eV per atom: 0.51
Total energy in hartree per atom: -0.225
DOS at the Fermi energy in states/eV/f.u.: 2.36
V in Å³ per cell: 191.19